InCoNO | GGA+U | relaxed

Output
- Polymorph energy (0 for the lowest one): 286 meV per atom

Lattice parameters (Å, degrees): 3.5133 5.7768 5.4356 90.00 90.00 90.00
Closest atoms and distances in Å follow each position.
Space group Pmc2_1 (No. 26)
One atom of each set of equivalent atoms:
In: 0.0000 0.1838 0.0000 x2  2 N 2.09, 2 O 2.16-2.17
Co: 0.5000 0.3426 0.5042 x2  2 N 1.98-1.99, 2 O 2.08
N: 0.5000 0.3377 0.8711 x2  2 Co 1.98-1.99, 2 In 2.09
O: 0.0000 0.1787 0.3992 x2  2 Co 2.08, 2 In 2.16-2.17